Density functional theory data (PBE) for a geometry-optimized K2TlZnAu structure.

Values from the calculation:
VASP energy: -1.722 eV per atom
DOS(E_F): 5.8 states/eV/cell
Space-group type: P4/mmm (123)

Lattice parameters (Å, degrees): 6.2772 6.2772 5.6591 90.00 90.00 90.00
With the nearest neighbours (Å) after each atom.
Element x y z (fractional)
K1 0.0000 0.5000 0.0000  2 Au 3.14
K2 0.5000 0.0000 0.0000  2 Au 3.14
Tl1 0.0000 0.0000 0.5000  2 Au 2.83
Zn1 0.5000 0.5000 0.5000  8 K 4.23, 4 Tl 4.44
Au1 0.0000 0.0000 0.0000  2 Tl 2.83, 4 K 3.14